[1]
The following is a PBE calculation of a relaxed structure of HoScCd, from Alexandria via LeMat-Bulk.

Cell lengths 3.433, 5.095, 5.095 Å; angles 120.00, 90.00, 90.00 degrees
Fractional positions:
Sc 0.102 0.000 0.000
Ho 0.646 0.667 0.333
Cd 0.252 0.333 0.667

Calculated values
symmetry: P3m1 (156)
total DFT energy (no corrections): -4.019 eV/atom
offset from the most stable computed form: 98 meV per atom
energy relative to the elements: -22.4 kJ/mol of formula units
crystal system: trigonal

---

[2]
The following is a PBE calculation of a relaxed structure of Eu2HgO, from Alexandria via LeMat-Bulk.

Cell lengths 3.271, 3.271, 8.080 Å; angles 90.00, 90.00, 90.00 degrees
Last column: magnetic moment on the atom in μB.
Fractional positions:
Eu 0.000 0.000 0.812  6.97
Eu 0.000 0.000 0.188  6.97
Hg 0.500 0.500 0.500  0.04
O 0.500 0.500 0.000  -0.06

Calculated values
ΔE_f (raw): -1205 meV per atom
symmetry: P4/mmm (123)
total DFT energy (no corrections): -7.658 eV/atom
offset from the most stable computed form: 90 meV per atom
crystal system: tetragonal

---

[3]
The following is a PBE calculation of a relaxed structure of ReBiAsBr2, from Alexandria via LeMat-Bulk.

Cell lengths 5.147, 5.147, 4.865 Å; angles 90.00, 90.00, 90.00 degrees
Last column: magnetic moment on the atom in μB.
Fractional positions:
Re 0.000 0.000 0.000  0.89
As 0.000 0.000 0.500  -0.05
Bi 0.500 0.500 0.500  0.29
Br 0.000 0.500 0.000  0.04
Br 0.500 0.000 0.000  0.04

Calculated values
ΔE_f (raw): 644 meV per atom
symmetry: P4/mmm (123)
total DFT energy (no corrections): -4.220 eV/atom
offset from the most stable computed form: 0 meV per atom
crystal system: tetragonal

---

[4]
The following is a PBE calculation of a relaxed structure of PmTmZnCu, from Alexandria via LeMat-Bulk.

Cell lengths 5.012, 5.012, 5.012 Å; angles 60.00, 60.00, 60.00 degrees
Fractional positions:
Zn 0.250 0.250 0.250
Tm 0.000 0.000 0.000
Cu 0.750 0.750 0.750
Pm 0.500 0.500 0.500

Calculated values
symmetry: F-43m (216)
total DFT energy (no corrections): -3.914 eV/atom
offset from the most stable computed form: 9 meV per atom
energy relative to the elements: -102.5 kJ/mol of formula units
crystal system: cubic

---

[5]
The following is a PBE calculation of a relaxed structure of Hf3Mn2Ga6, from Alexandria via LeMat-Bulk.

Cell lengths 5.375, 7.678, 8.715 Å; angles 90.00, 90.00, 90.00 degrees
Last column: magnetic moment on the atom in μB.
Fractional positions:
Hf 0.000 0.844 0.719  -0.14
Hf 0.500 0.156 0.219  -0.14
Hf 0.000 0.282 0.000  -0.17
Hf 0.000 0.844 0.281  -0.14
Hf 0.500 0.156 0.781  -0.14
Hf 0.500 0.718 0.500  -0.17
Mn 0.750 0.500 0.250  2.17
Mn 0.750 0.500 0.750  2.17
Mn 0.250 0.500 0.750  2.17
Mn 0.250 0.500 0.250  2.17
Ga 0.000 0.561 0.500  -0.07
Ga 0.000 0.633 0.000  -0.06
Ga 0.760 0.959 0.000  0.01
Ga 0.000 0.235 0.313  -0.04
Ga 0.500 0.439 0.000  -0.07
Ga 0.500 0.765 0.187  -0.04
Ga 0.260 0.041 0.500  0.01
Ga 0.500 0.367 0.500  -0.06
Ga 0.000 0.235 0.687  -0.04
Ga 0.500 0.765 0.813  -0.04
Ga 0.740 0.041 0.500  0.01
Ga 0.240 0.959 0.000  0.01

Calculated values
symmetry: Pmmn (59)
total DFT energy (no corrections): -6.437 eV/atom
energy relative to the elements: -428.6 kJ/mol of formula units
crystal system: orthorhombic

---

[6]
The following is a PBE calculation of a relaxed structure of DySc5Cd6, from Alexandria via LeMat-Bulk.

Cell lengths 5.028, 7.215, 8.748 Å; angles 114.35, 107.03, 90.00 degrees
Fractional positions:
Sc 0.665 0.164 0.328
Sc 0.331 0.332 0.663
Sc 0.000 0.500 0.000
Sc 0.669 0.668 0.337
Sc 0.335 0.836 0.672
Dy 0.000 0.000 0.000
Cd 0.829 0.572 0.659
Cd 0.829 0.087 0.659
Cd 0.500 0.735 0.000
Cd 0.500 0.265 0.000
Cd 0.171 0.913 0.341
Cd 0.171 0.428 0.341

Calculated values
symmetry: C2/m (12)
total DFT energy (no corrections): -3.769 eV/atom
energy relative to the elements: -335.4 kJ/mol of formula units
crystal system: monoclinic

---

| no. | size of the total moment (μB per formula unit) | calculated density (Mg/m³) |
| --- | --- | --- |
| 1 | 0.0 | 6.94 |
| 2 | 14.5 | 10.00 |
| 3 | 1.4 | 8.12 |
| 4 | 0.0 | 8.26 |
| 5 | 3.6 | 9.82 |
| 6 | 0.0 | 6.44 |